(1)
Here is a relaxed Cs2Rb2HgBi2 crystal from Alexandria via LeMat-Bulk. Energies are from GGA-PBE.

abc: 6.481 6.481 9.613
angles: 109.82 109.82 60.09
Fractional positions:
1 Cs 0.206 0.206 0.117
2 Cs 0.794 0.794 0.883
3 Rb 0.358 0.358 0.577
4 Rb 0.642 0.642 0.423
5 Hg 0.500 0.500 0.000
6 Bi 0.058 0.058 0.677
7 Bi 0.942 0.942 0.323

Results
The formation energy is -0.327 eV per atom.

(2)
Here is a relaxed La3Hg2Ru crystal from Alexandria via LeMat-Bulk. Energies are from GGA-PBE.

abc: 5.402 7.583 8.778
angles: 89.24 72.09 87.28
Fractional positions:
1 La 0.039 0.232 0.499
2 La 0.352 0.999 0.793
3 La 0.381 0.500 0.739
4 La 0.619 0.500 0.261
5 La 0.648 0.001 0.207
6 La 0.961 0.768 0.501
7 Hg 0.192 0.721 0.106
8 Hg 0.203 0.280 0.105
9 Hg 0.797 0.720 0.895
10 Hg 0.808 0.279 0.894
11 Ru 0.451 0.805 0.501
12 Ru 0.549 0.195 0.499

Results
Its energy above the most stable polymorph in this dataset is 0.000 eV per formula unit. The formation energy is -0.437 eV per atom.

(3)
Here is a relaxed CsKZn2Br6 crystal from Alexandria via LeMat-Bulk. Energies are from GGA-PBE.

abc: 9.645 9.645 10.364
angles: 100.15 100.15 107.14
Fractional positions:
1 Cs 0.148 0.852 0.750
2 Cs 0.852 0.148 0.250
3 K 0.423 0.577 0.250
4 K 0.577 0.423 0.750
5 Zn 0.147 0.394 0.733
6 Zn 0.394 0.147 0.233
7 Zn 0.606 0.853 0.767
8 Zn 0.853 0.606 0.267
9 Br 0.076 0.557 0.326
10 Br 0.193 0.193 0.106
11 Br 0.193 0.193 0.606
12 Br 0.337 0.565 0.915
13 Br 0.435 0.663 0.585
14 Br 0.443 0.924 0.174
15 Br 0.557 0.076 0.826
16 Br 0.565 0.337 0.415
17 Br 0.663 0.435 0.085
18 Br 0.807 0.807 0.394
19 Br 0.807 0.807 0.894
20 Br 0.924 0.443 0.674

Results
For the formation energy (no corrections), the calculation gives -1.2136 eV/atom.

(4)
Here is a relaxed ZnMoAs4 crystal from Alexandria via LeMat-Bulk. Energies are from GGA-PBE.

abc: 5.412 5.412 5.412
angles: 60.00 60.00 60.00
Fractional positions:
1 Zn 0.000 0.000 0.000
2 Mo 0.250 0.250 0.250
3 As 0.128 0.624 0.624
4 As 0.624 0.128 0.624
5 As 0.624 0.624 0.128
6 As 0.624 0.624 0.624

Results
The formation energy is 0.749 eV per atom.

(5)
Here is a relaxed LaTcHN2 crystal from Alexandria via LeMat-Bulk. Energies are from GGA-PBE.

abc: 4.001 4.001 3.695
angles: 90.00 90.00 90.00
Fractional positions:
1 La 0.000 0.000 0.000
2 Tc 0.500 0.500 0.500
3 H 0.500 0.500 0.000
4 N 0.000 0.500 0.500
5 N 0.500 0.000 0.500

Results
As for the total energy: -38.951 eV per cell.

(6)
Here is a relaxed Ho3Al3Hg crystal from Alexandria via LeMat-Bulk. Energies are from GGA-PBE.

abc: 5.918 5.918 14.314
angles: 107.68 107.68 44.82
Fractional positions:
1 Ho 0.031 0.031 0.377
2 Ho 0.103 0.103 0.922
3 Ho 0.237 0.237 0.217
4 Ho 0.763 0.763 0.783
5 Ho 0.897 0.897 0.078
6 Ho 0.969 0.969 0.623
7 Al 0.374 0.374 0.455
8 Al 0.391 0.391 0.927
9 Al 0.474 0.474 0.772
10 Al 0.526 0.526 0.228
11 Al 0.609 0.609 0.073
12 Al 0.626 0.626 0.545
13 Hg 0.255 0.255 0.611
14 Hg 0.745 0.745 0.389

Results
The formation energy is -0.416 eV per atom.

> What is the formula in the third record?

CsKZn2Br6

> What is the formula in the fifth record?

LaTcHN2